Li3Dy4ThSe8 | PBE | relaxed

- Size of the total moment: 0.000 μB per atom
- Fermi-level density of states: 5.383 states/eV per cell
- V: 379.54 Å³/f.u.
- Uncorrected energy: -86.249 eV per cell

Unit cell a=8.1155 b=8.1381 c=8.1155 alpha=119.91 beta=120.00 gamma=90.00
With the nearest neighbours (Å) after each atom.
Atoms (fractional coordinates):
Li: 0.5000 0.5000 0.0000  6 Se 2.83-2.86
Li: 0.5000 0.5000 0.5000  6 Se 2.83-2.86
Li: 0.0000 0.5000 0.5000  6 Se 2.83-2.86
Dy: 0.5000 0.0000 0.0000  6 Se 2.84
Dy: 0.5000 0.0000 0.5000  6 Se 2.88-2.92
Dy: 0.0000 0.0000 0.0000  6 Se 2.88-2.92
Dy: 0.0000 0.0000 0.5000  6 Se 2.88-2.92
Th: 0.0000 0.5000 0.0000  6 Se 2.91
Se: 0.2533 0.7460 0.9928  2 Li 2.83, 3 Dy 2.84-2.92, 1 Th 2.91
Se: 0.2532 0.7460 0.5065  2 Li 2.83, 3 Dy 2.84-2.92, 1 Th 2.91
Se: 0.2508 0.2524 0.5016  3 Li 2.86, 3 Dy 2.88
Se: 0.7395 0.7460 0.9928  2 Li 2.83, 3 Dy 2.84-2.92, 1 Th 2.91
Se: 0.2605 0.2540 0.0072  2 Li 2.83, 3 Dy 2.84-2.92, 1 Th 2.91
Se: 0.7492 0.7476 0.4984  3 Li 2.86, 3 Dy 2.88
Se: 0.7468 0.2540 0.4935  2 Li 2.83, 3 Dy 2.84-2.92, 1 Th 2.91
Se: 0.7467 0.2540 0.0072  2 Li 2.83, 3 Dy 2.84-2.92, 1 Th 2.91